Run P
{
  "formula": "YBeAu3",
  "functional": "PBE-GGA",
  "state": "optimized geometry",
  "cell": [[7.084, 0.000, 0.000], [0.000, 8.889, 0.000], [0.000, 0.000, 6.140]],
  "species": ["Y", "Y", "Y", "Y", "Be", "Be", "Be", "Be", "Au", "Au", "Au", "Au", "Au", "Au", "Au", "Au", "Au", "Au", "Au", "Au"],
  "fractional_positions": [[0.013, 0.250, 0.004], [0.487, 0.750, 0.504], [0.513, 0.250, 0.496], [0.987, 0.750, 0.996], [0.000, 0.000, 0.500], [0.000, 0.500, 0.500], [0.500, 0.000, 0.000], [0.500, 0.500, 0.000], [0.087, 0.250, 0.504], [0.247, 0.501, 0.754], [0.247, 0.999, 0.754], [0.253, 0.001, 0.254], [0.253, 0.499, 0.254], [0.413, 0.750, 0.004], [0.587, 0.250, 0.996], [0.747, 0.501, 0.746], [0.747, 0.999, 0.746], [0.753, 0.001, 0.246], [0.753, 0.499, 0.246], [0.913, 0.750, 0.496]],
  "space_group": "Pnma",
  "n_ef_per_ev_atom": 0.47,
  "crystal_system": "orthorhombic"
}

***

Run Q
{
  "formula": "YBeAu3",
  "functional": "PBE-GGA",
  "state": "optimized geometry",
  "cell": [[3.949, 0.000, 0.000], [-1.974, 3.420, 0.000], [0.000, 0.000, 16.652]],
  "species": ["Y", "Y", "Be", "Be", "Au", "Au", "Au", "Au", "Au", "Au"],
  "fractional_positions": [[0.000, 0.000, 0.000], [0.000, 0.000, 0.500], [0.333, 0.667, 0.250], [0.667, 0.333, 0.750], [0.000, 0.000, 0.250], [0.000, 0.000, 0.750], [0.333, 0.667, 0.112], [0.333, 0.667, 0.388], [0.667, 0.333, 0.612], [0.667, 0.333, 0.888]],
  "space_group": "P6_3/mmc",
  "n_ef_per_ev_atom": 0.48,
  "crystal_system": "hexagonal"
}

***

The least stable of them is run Q.

***

Run P
{
  "formula": "MgMoPd",
  "functional": "PBE-GGA",
  "state": "optimized geometry",
  "cell": [[5.521, -1.584, 0.000], [5.521, 1.584, 0.000], [-1.884, 0.000, 5.751]],
  "species": ["Mg", "Mg", "Mo", "Mo", "Pd", "Pd"],
  "fractional_positions": [[0.000, 0.000, 0.000], [0.000, 0.000, 0.500], [0.304, 0.304, 0.652], [0.696, 0.696, 0.348], [0.343, 0.343, 0.163], [0.657, 0.657, 0.837]],
  "space_group": "C2/m",
  "n_ef_per_ev_atom": 0.39,
  "crystal_system": "monoclinic"
}

***

Run Q
{
  "formula": "MgMoPd",
  "functional": "PBE-GGA",
  "state": "optimized geometry",
  "cell": [[5.231, -1.568, 0.000], [5.231, 1.568, 0.000], [-2.220, 0.000, 6.230]],
  "species": ["Mg", "Mg", "Mo", "Mo", "Pd", "Pd"],
  "fractional_positions": [[0.000, 0.000, 0.000], [0.653, 0.653, 0.757], [0.309, 0.309, 0.154], [0.939, 0.939, 0.416], [0.344, 0.344, 0.686], [0.644, 0.644, 0.334]],
  "space_group": "Cm",
  "n_ef_per_ev_atom": 0.50,
  "crystal_system": "monoclinic"
}

***

The least stable of them is run Q.

***

Run P
{
  "formula": "BeInCu2",
  "functional": "PBE-GGA",
  "state": "optimized geometry",
  "cell": [[2.850, 0.000, 0.000], [0.000, 3.782, 0.000], [-1.114, 0.000, 5.175]],
  "species": ["Be", "In", "Cu", "Cu"],
  "fractional_positions": [[0.000, 0.000, 0.000], [0.000, 0.000, 0.500], [0.364, 0.500, 0.205], [0.636, 0.500, 0.795]],
  "space_group": "P2/m",
  "n_ef_per_ev_atom": 0.20,
  "crystal_system": "monoclinic"
}

***

Run Q
{
  "formula": "BeInCu2",
  "functional": "PBE-GGA",
  "state": "optimized geometry",
  "cell": [[-1.912, 1.912, 8.547], [1.912, -1.912, 8.547], [1.912, 1.912, -8.547]],
  "species": ["Be", "Be", "In", "In", "Cu", "Cu", "Cu", "Cu"],
  "fractional_positions": [[0.000, 0.000, 0.000], [0.750, 0.250, 0.500], [0.250, 0.750, 0.500], [0.500, 0.500, 0.000], [0.070, 0.625, 0.945], [0.375, 0.320, 0.445], [0.680, 0.125, 0.055], [0.875, 0.930, 0.555]],
  "space_group": "I-42d",
  "n_ef_per_ev_atom": 0.44,
  "crystal_system": "tetragonal"
}

***

The least stable of them is run Q.

***

Run P
{
  "formula": "TeIr2Se",
  "functional": "PBE-GGA",
  "state": "optimized geometry",
  "cell": [[4.830, -1.736, 0.000], [4.830, 1.736, 0.000], [-0.659, 0.000, 4.482]],
  "species": ["Te", "Ir", "Ir", "Se"],
  "fractional_positions": [[0.000, 0.000, 0.000], [0.263, 0.263, 0.784], [0.526, 0.526, 0.525], [0.761, 0.761, 0.405]],
  "space_group": "Cm",
  "n_ef_per_ev_atom": 0.73,
  "crystal_system": "monoclinic"
}

***

Run Q
{
  "formula": "TeIr2Se",
  "functional": "PBE-GGA",
  "state": "optimized geometry",
  "cell": [[0.000, 3.087, 4.292], [2.858, 0.000, 4.292], [2.858, 3.087, 0.000]],
  "species": ["Te", "Ir", "Ir", "Se"],
  "fractional_positions": [[0.000, 0.000, 0.000], [0.000, 0.500, 0.500], [0.500, 0.000, 0.000], [0.500, 0.500, 0.500]],
  "space_group": "Fmmm",
  "n_ef_per_ev_atom": 0.97,
  "crystal_system": "orthorhombic"
}

***

The least stable of them is run Q.

***

Run P
{
  "formula": "Dy5Hg2Ir",
  "functional": "PBE-GGA",
  "state": "optimized geometry",
  "cell": [[2.845, -6.184, 0.000], [2.845, 6.184, 0.000], [0.000, 0.000, 12.665]],
  "species": ["Dy", "Dy", "Dy", "Dy", "Dy", "Dy", "Dy", "Dy", "Dy", "Dy", "Hg", "Hg", "Hg", "Hg", "Ir", "Ir"],
  "fractional_positions": [[0.076, 0.924, 0.604], [0.076, 0.924, 0.896], [0.375, 0.625, 0.569], [0.375, 0.625, 0.931], [0.386, 0.614, 0.250], [0.614, 0.386, 0.750], [0.625, 0.375, 0.069], [0.625, 0.375, 0.431], [0.924, 0.076, 0.104], [0.924, 0.076, 0.396], [0.178, 0.822, 0.127], [0.178, 0.822, 0.373], [0.822, 0.178, 0.627], [0.822, 0.178, 0.873], [0.234, 0.766, 0.750], [0.766, 0.234, 0.250]],
  "space_group": "Cmcm",
  "n_ef_per_ev_atom": 0.97,
  "crystal_system": "orthorhombic"
}

***

Run Q
{
  "formula": "Dy5Hg2Ir",
  "functional": "PBE-GGA",
  "state": "optimized geometry",
  "cell": [[7.095, 0.000, 0.000], [0.000, 12.153, 0.000], [0.000, 0.000, 4.883]],
  "species": ["Dy", "Dy", "Dy", "Dy", "Dy", "Dy", "Dy", "Dy", "Dy", "Dy", "Hg", "Hg", "Hg", "Hg", "Ir", "Ir"],
  "fractional_positions": [[0.000, 0.000, 0.000], [0.141, 0.292, 0.000], [0.175, 0.585, 0.500], [0.325, 0.085, 0.500], [0.359, 0.792, 0.000], [0.500, 0.500, 0.000], [0.641, 0.208, 0.000], [0.675, 0.915, 0.500], [0.825, 0.415, 0.500], [0.859, 0.708, 0.000], [0.083, 0.838, 0.500], [0.417, 0.338, 0.500], [0.583, 0.662, 0.500], [0.917, 0.162, 0.500], [0.000, 0.500, 0.000], [0.500, 0.000, 0.000]],
  "space_group": "Pbam",
  "n_ef_per_ev_atom": 0.81,
  "crystal_system": "orthorhombic"
}

***

The least stable of them is run P.

***

Run P
{
  "formula": "AsPbSe2",
  "functional": "PBE-GGA",
  "state": "optimized geometry",
  "cell": [[0.000, 3.585, 3.585], [3.585, 0.000, 3.585], [3.585, 3.585, 0.000]],
  "species": ["As", "Pb", "Se", "Se"],
  "fractional_positions": [[0.000, 0.000, 0.000], [0.250, 0.250, 0.250], [0.500, 0.500, 0.500], [0.750, 0.750, 0.750]],
  "space_group": "F-43m",
  "n_ef_per_ev_atom": 0.71,
  "crystal_system": "cubic"
}

***

Run Q
{
  "formula": "AsPbSe2",
  "functional": "PBE-GGA",
  "state": "optimized geometry",
  "cell": [[-1.880, 3.087, 5.476], [1.880, -3.087, 5.476], [1.880, 3.087, -5.476]],
  "species": ["As", "Pb", "Se", "Se"],
  "fractional_positions": [[0.000, 0.000, 0.000], [0.423, 0.923, 0.500], [0.607, 0.607, 0.000], [0.851, 0.351, 0.500]],
  "space_group": "Imm2",
  "n_ef_per_ev_atom": 0.33,
  "crystal_system": "orthorhombic"
}

***

The least stable of them is run P.

***

Run P
{
  "formula": "KW",
  "functional": "PBE-GGA",
  "state": "optimized geometry",
  "cell": [[7.021, 0.000, 0.000], [0.000, 7.021, 0.000], [0.000, 0.000, 7.014]],
  "species": ["K", "K", "K", "K", "W", "W", "W", "W"],
  "fractional_positions": [[0.168, 0.168, 0.000], [0.332, 0.668, 0.500], [0.668, 0.332, 0.500], [0.832, 0.832, 0.000], [0.106, 0.106, 0.500], [0.394, 0.606, 0.000], [0.606, 0.394, 0.000], [0.894, 0.894, 0.500]],
  "space_group": "P4_2/mnm",
  "n_ef_per_ev_atom": 0.05,
  "crystal_system": "tetragonal"
}

***

Run Q
{
  "formula": "KW",
  "functional": "PBE-GGA",
  "state": "optimized geometry",
  "cell": [[-7.647, 7.647, 1.562], [7.647, -7.647, 1.562], [7.647, 7.647, -1.562]],
  "species": ["K", "K", "K", "K", "W", "W", "W", "W"],
  "fractional_positions": [[0.037, 0.284, 0.321], [0.284, 0.963, 0.246], [0.716, 0.037, 0.754], [0.963, 0.716, 0.679], [0.193, 0.755, 0.948], [0.245, 0.193, 0.437], [0.755, 0.807, 0.563], [0.807, 0.245, 0.052]],
  "space_group": "I4/m",
  "n_ef_per_ev_atom": 0.92,
  "crystal_system": "tetragonal"
}

***

The least stable of them is run P.

***

Run P
{
  "formula": "Be2IrCl",
  "functional": "PBE-GGA",
  "state": "optimized geometry",
  "cell": [[2.880, 0.000, 0.000], [0.000, 2.975, 0.000], [0.000, 0.000, 6.117]],
  "species": ["Be", "Be", "Ir", "Cl"],
  "fractional_positions": [[0.000, 0.000, 0.196], [0.000, 0.000, 0.804], [0.500, 0.500, 0.000], [0.500, 0.000, 0.500]],
  "space_group": "Pmmm",
  "n_ef_per_ev_atom": 0.04,
  "crystal_system": "orthorhombic"
}

***

Run Q
{
  "formula": "Be2IrCl",
  "functional": "PBE-GGA",
  "state": "optimized geometry",
  "cell": [[1.470, 0.849, 6.711], [-1.470, 0.849, 6.711], [0.000, -1.697, 6.711]],
  "species": ["Be", "Be", "Ir", "Cl"],
  "fractional_positions": [[0.247, 0.247, 0.247], [0.753, 0.753, 0.753], [0.500, 0.500, 0.500], [0.000, 0.000, 0.000]],
  "space_group": "R-3m",
  "n_ef_per_ev_atom": 0.26,
  "crystal_system": "trigonal"
}

***

The least stable of them is run Q.